# 1
Tl4ZnCo | the Alexandria database | PBE | optimized geometry; DFT formation energy = 4.7 eV/f.u.
1.0
0.000 4.431 4.431
4.431 0.000 4.431
4.431 4.431 0.000
Tl Zn Co
4 1 1
Cartesian
1.110 1.110 1.110
3.321 3.321 1.110
3.321 1.110 3.321
1.110 3.321 3.321
6.646 6.646 6.646
4.431 4.431 4.431

***

# 2
Nd3Ga3Ag | the Alexandria database | PBE | optimized geometry; DFT formation energy = -3.7 eV/f.u.
1.0
5.520 -2.278 0.000
5.520 2.278 0.000
-5.364 0.000 13.887
Nd Ga Ag
6 6 2
Cartesian
-1.618 0.000 5.269
-3.786 0.000 12.867
1.443 0.000 3.146
4.233 0.000 10.742
9.462 0.000 1.021
7.294 0.000 8.618
1.700 0.000 6.338
-0.605 0.000 12.819
1.050 0.000 10.740
4.626 0.000 3.148
6.281 0.000 1.068
3.977 0.000 7.549
-0.446 0.000 8.388
6.122 0.000 5.499

***

# 3
Mg2TaCr | the Alexandria database | PBE | optimized geometry; energy relative to the lowest polymorph listed for this composition = 0.150 eV/atom; DFT formation energy = 1.7 eV/f.u.
1.0
3.142 0.000 0.000
0.000 4.956 0.000
0.000 0.000 9.309
Mg Ta Cr
4 2 2
Cartesian
0.000 0.000 0.000
0.000 2.478 2.127
1.571 0.000 6.781
1.571 2.478 4.654
0.000 2.478 7.277
1.571 0.000 2.622
0.000 0.000 4.457
1.571 2.478 9.112

***

# 4
Dy5HgTe4 | the Alexandria database | PBE | optimized geometry; uncorrected formation energy = -1151 meV/atom
1.0
-4.870 4.870 3.078
4.870 -4.870 3.078
4.870 4.870 -3.078
Dy Hg Te
5 1 4
Cartesian
0.000 0.000 0.000
5.832 2.069 0.000
2.069 3.908 0.000
2.801 0.962 3.078
-0.962 2.801 3.078
0.000 0.000 3.078
2.964 0.914 0.000
3.956 -1.906 3.078
0.914 6.776 0.000
1.906 3.956 3.078

***

# 5
Sc2FeW | the Alexandria database | PBE | optimized geometry; energy relative to the lowest polymorph listed for this composition = 0.175 eV/atom; DFT formation energy = 0.8 eV/f.u.
1.0
3.031 0.000 0.000
0.000 4.119 0.000
-1.364 0.000 5.662
Sc Fe W
2 1 1
Cartesian
0.000 0.000 0.000
-0.139 2.059 3.826
1.004 0.000 2.458
1.671 2.059 1.378

***

# 6
Y2CdAs2 | the Alexandria database | PBE | optimized geometry; DFT formation energy = -3.4 eV/f.u.
1.0
5.154 0.000 0.000
0.000 5.154 0.000
0.000 0.000 10.416
Y Cd As
4 2 4
Cartesian
0.000 2.577 2.604
0.000 2.577 7.812
2.577 0.000 2.604
2.577 0.000 7.812
0.000 0.000 0.000
2.577 2.577 5.208
0.000 0.000 3.857
0.000 0.000 6.559
2.577 2.577 1.351
2.577 2.577 9.065

***

# 7
Sc2ReRh | the Alexandria database | PBE | optimized geometry; DFT formation energy = 0.6 eV/f.u.
1.0
7.173 0.000 0.000
0.000 7.173 0.000
0.000 0.000 5.664
Sc Re Rh
8 4 4
Cartesian
1.676 1.793 0.708
1.793 5.262 2.124
1.793 5.497 4.956
1.910 1.793 3.540
5.262 5.380 3.540
5.380 1.676 4.956
5.380 1.910 2.124
5.497 5.380 0.708
0.000 0.000 2.832
0.000 3.586 4.248
3.586 0.000 1.416
3.586 3.586 0.000
0.000 0.000 0.000
0.000 3.586 1.416
3.586 0.000 4.248
3.586 3.586 2.832

***

# 8
BaZrGa2 | the Alexandria database | PBE | optimized geometry; energy relative to the lowest polymorph listed for this composition = 0.495 eV/atom; DFT formation energy = 0.7 eV/f.u.
1.0
5.268 0.000 0.000
0.000 5.268 0.000
0.000 0.000 18.855
Ba Zr Ga
4 4 8
Cartesian
0.000 0.000 0.000
0.000 2.634 4.714
2.634 0.000 14.142
2.634 2.634 9.428
0.000 0.000 9.428
0.000 2.634 14.142
2.634 0.000 4.714
2.634 2.634 0.000
0.503 1.317 11.785
1.317 3.137 16.499
1.317 4.765 7.071
2.131 1.317 2.357
3.137 3.951 2.357
3.951 0.503 7.071
3.951 2.131 16.499
4.765 3.951 11.785

***

# 9
AlFe3H | the Alexandria database | PBE | optimized geometry; energy relative to the lowest polymorph listed for this composition = 0.059 eV/atom
1.0
7.649 -1.789 0.000
7.649 1.789 0.000
-0.939 0.000 3.679
Al Fe H
2 6 2
Cartesian
0.724 0.000 1.163
13.634 0.000 2.515
1.956 0.000 3.438
4.250 0.000 2.070
6.569 0.000 0.707
7.789 0.000 2.972
10.107 0.000 1.609
12.401 0.000 0.241
4.752 0.000 0.241
9.606 0.000 3.438

***

# 10
MnFe4Si | the Alexandria database | PBE | optimized geometry; energy relative to the lowest polymorph listed for this composition = 0.228 eV/atom; uncorrected formation energy = 324 meV/atom
1.0
3.688 0.000 0.000
0.000 3.688 0.000
0.000 0.000 5.689
Mn Fe Si
1 4 1
Cartesian
0.000 0.000 0.000
0.000 1.844 1.446
0.000 1.844 4.243
1.844 0.000 1.446
1.844 0.000 4.243
1.844 1.844 2.845

***

# 11
LiAsPt2N | the Alexandria database | PBE | optimized geometry; uncorrected formation energy = 682 meV/atom
1.0
4.743 0.000 0.000
0.000 4.743 0.000
0.000 0.000 3.912
Li As Pt N
1 1 2 1
Cartesian
0.000 0.000 0.000
2.372 2.372 1.956
0.000 2.372 1.956
2.372 0.000 1.956
2.372 2.372 0.000

***

# 12
La6Y8Tm | the Alexandria database | PBE | optimized geometry; DFT formation energy = 1.6 eV/f.u.
1.0
4.578 2.643 7.126
-4.578 2.643 7.126
0.000 -5.286 7.126
La Y Tm
6 8 1
Cartesian
-2.543 -2.222 9.703
-3.196 1.091 11.676
0.653 -3.313 11.676
-0.653 3.313 9.703
3.196 -1.091 9.703
2.543 2.222 11.676
0.000 0.000 1.658
-1.872 0.761 7.726
0.277 -2.002 7.726
-1.595 -1.240 13.653
1.595 1.240 7.726
-0.277 2.002 13.653
1.872 -0.761 13.653
0.000 0.000 19.721
0.000 0.000 10.689

***

# 13
PuPd6Pt3 | the Alexandria database | PBE | optimized geometry; DFT formation energy = -0.9 eV/f.u.
1.0
4.786 0.000 0.000
-2.393 4.145 0.000
0.000 0.000 9.065
Pu Pd Pt
1 6 3
Cartesian
0.000 0.000 0.000
-0.816 1.414 6.915
-1.577 2.731 2.149
1.633 0.000 6.915
0.816 1.414 2.149
3.153 0.000 2.149
1.577 2.731 6.915
0.000 0.000 4.532
0.000 2.763 4.532
2.393 1.382 4.532

***

So what do the calculations give for total energy? Going down the list: -2.190; -4.281; -5.744; -4.739; -8.313; -5.310; -7.959; -3.965; -6.612; -7.750; -4.712; -5.608; -6.446 eV per atom.
So what do the calculations give for spin magnetization? Going down the list: 1.851; 0.003; 0.904; 0.000; 0.000; 0.000; 0.000; 0.000; 6.281; 4.323; 1.000; 0.000; 3.384 μB per formula unit.